First-principles (GGA-PBE) data for a geometry-optimized TeRhSe2N structure, as listed in Alexandria. Values from VASP.

Structure (Quantum ESPRESSO input):
```
&SYSTEM
  ibrav = 0, nat = 5, ntyp = 4
/
ATOMIC_SPECIES
Te 127.60 Te.upf
Rh 102.91 Rh.upf
Se 78.96 Se.upf
N 14.01 N.upf
CELL_PARAMETERS angstrom
5.350 0.000 0.000
0.000 5.350 0.000
0.000 0.000 3.842
ATOMIC_POSITIONS angstrom
Te 0.000 0.000 0.000
Rh 2.675 2.675 1.921
Se 0.000 2.675 0.000
Se 2.675 0.000 0.000
N 0.000 0.000 1.921
```

Mass density ... 6.075 g/cm3
Energy above the lowest structure with this stoichiometry ... 915.1 meV per atom